No. 1
An optimized crystal structure of InSb2P. Source: Alexandria, functional GGA-PBEsol.

abc: 3.5292 5.4587 5.8122
angles: 113.28 107.67 90.00
With the nearest neighbours (Å) after each atom.
Fractional positions:
Sb 0.9701 0.9549 0.9402  2 P 2.78
Sb 0.7396 0.1952 0.4791  2 P 2.71
P 0.2593 0.8368 0.5186  4 Sb 2.71-2.78, 2 In 2.99
In 0.5311 0.5130 0.0621  2 P 2.99, 4 Sb 3.28-3.34

Computed properties:
Density   6.66 g cm⁻³
Total DFT energy (no corrections)   -4.274 eV per atom
Calculated volume   24.3 Å³ per atom
Formation energy from raw total energies   198 meV per atom
Total magnetization   0.00 μB per formula unit



No. 2
An optimized crystal structure of MnCd2Se. Source: Alexandria, functional GGA-PBEsol.

abc: 2.9286 2.9286 8.3816
angles: 90.00 90.00 90.00
With the nearest neighbours (Å) after each atom.
Fractional positions:
Se 0.5000 0.5000 0.6693  4 Mn 2.39
Cd 0.5000 0.5000 0.2951  4 Mn 2.84, 8 Cd 2.93-3.17, 1 Se 3.14
Cd 0.0000 0.0000 0.0090  8 Cd 2.93-3.17
Mn 0.0000 0.0000 0.5266  4 Se 2.39

Computed properties:
Density   8.29 g cm⁻³
Total DFT energy (no corrections)   -3.959 eV per atom
Calculated volume   18.0 Å³ per atom
Formation energy from raw total energies   43 meV per atom
Total magnetization   0.49 μB per formula unit



No. 3
An optimized crystal structure of BaMnRe3. Source: Alexandria, functional GGA-PBEsol.

abc: 4.9093 4.9093 4.9093
angles: 90.00 90.00 90.00
With the nearest neighbours (Å) after each atom.
Fractional positions:
Re 0.5000 0.0000 0.0000  2 Ba 2.45
Re 0.0000 0.0000 0.5000  2 Ba 2.45
Re 0.0000 0.5000 0.0000  2 Ba 2.45
Ba 0.0000 0.0000 0.0000  6 Re 2.45
Mn 0.5000 0.5000 0.5000  12 Re 3.47

Computed properties:
Density   10.54 g cm⁻³
E_form   4.067 eV/atom
Total DFT energy (no corrections)   -6.314 eV per atom
Calculated volume   23.7 Å³ per atom
Total magnetization   1.54 μB per formula unit



No. 4
An optimized crystal structure of Nd2Ga3Fe14C2. Source: Alexandria, functional GGA-PBEsol.

abc: 6.4090 6.4392 6.4392
angles: 96.50 96.25 83.75
With the nearest neighbours (Å) after each atom.
Fractional positions:
Fe 0.7137 0.0019 0.7156  1 C 1.84
Fe 0.8451 0.3421 0.6579  2 Ga 2.47, 7 Fe 2.50-2.70
Fe 0.0000 0.2796 0.2796  2 Ga 2.42, 8 Fe 2.43-2.70
Fe 0.6565 0.6537 0.8515  1 C 1.88
Fe 0.2863 0.9981 0.2844  1 C 1.84
Fe 0.0000 0.7204 0.7204  2 Ga 2.42, 8 Fe 2.43-2.70
Fe 0.3435 0.8515 0.6537  1 C 1.88
Fe 0.0947 0.0922 0.9078  1 Fe 2.29
Fe 0.9053 0.9078 0.0922  1 Fe 2.29
Fe 0.7137 0.2844 0.9981  1 C 1.84
Fe 0.6565 0.1485 0.3463  1 C 1.88
Fe 0.3435 0.3463 0.1485  1 C 1.88
Fe 0.1549 0.6579 0.3421  2 Ga 2.47, 7 Fe 2.50-2.70
Fe 0.2863 0.7156 0.0019  1 C 1.84
C 0.5000 0.5000 0.0000  4 Fe 1.84-1.88
C 0.5000 0.0000 0.5000  4 Fe 1.84-1.88
Nd 0.3296 0.3522 0.6478  2 C 2.54
Nd 0.6704 0.6478 0.3522  2 C 2.54
Ga 0.5000 0.0000 0.0000  10 Fe 2.40-2.62
Ga 0.0000 0.0000 0.5000  10 Fe 2.42-2.64
Ga 0.0000 0.5000 0.0000  10 Fe 2.42-2.64

Computed properties:
Density   8.29 g cm⁻³
E_form   -0.123 eV/atom
Total DFT energy (no corrections)   -7.987 eV per atom
Calculated volume   12.4 Å³ per atom
Total magnetization   23.90 μB per formula unit



No. 5
An optimized crystal structure of IrPt2Br. Source: Alexandria, functional GGA-PBEsol.

abc: 2.8006 4.6238 6.5310
angles: 100.87 90.00 107.63
With the nearest neighbours (Å) after each atom.
Fractional positions:
Pt 0.0412 0.0824 0.0261  3 Ir 2.55-2.59, 5 Pt 2.75-2.80
Pt 0.2860 0.5721 0.8216  1 Br 2.48, 2 Ir 2.62, 3 Pt 2.75-2.76
Ir 0.7886 0.5771 0.1616  5 Pt 2.55-2.62, 2 Br 2.56, 2 Ir 2.80
Br 0.3842 0.7683 0.4906  1 Pt 2.48, 2 Ir 2.56

Computed properties:
Density   13.92 g cm⁻³
Total DFT energy (no corrections)   -5.916 eV per atom
Calculated volume   19.8 Å³ per atom
Formation energy from raw total energies   489 meV per atom
Total magnetization   0.00 μB per formula unit



No. 6
An optimized crystal structure of DyCdAu2. Source: Alexandria, functional GGA-PBEsol.

abc: 4.8314 4.8314 4.8314
angles: 60.00 60.00 60.00
With the nearest neighbours (Å) after each atom.
Fractional positions:
Au 0.7500 0.7500 0.7500  4 Cd 2.96, 4 Dy 2.96
Au 0.2500 0.2500 0.2500  4 Dy 2.96, 4 Cd 2.96
Cd 0.5000 0.5000 0.5000  8 Au 2.96
Dy 0.0000 0.0000 0.0000  8 Au 2.96

Computed properties:
Density   13.93 g cm⁻³
E_form   -0.681 eV/atom
Total DFT energy (no corrections)   -4.187 eV per atom
Calculated volume   19.9 Å³ per atom
Total magnetization   0.00 μB per formula unit



No. 7
An optimized crystal structure of InHgRh2. Source: Alexandria, functional GGA-PBEsol.

abc: 3.9924 3.9924 4.9923
angles: 113.57 113.57 90.00
With the nearest neighbours (Å) after each atom.
Fractional positions:
Rh 0.7500 0.2500 0.5000  4 In 2.82, 4 Rh 2.87, 4 Hg 2.87
Rh 0.0000 0.0000 0.0000  4 Hg 2.82, 4 In 2.87, 4 Rh 2.87
Hg 0.5000 0.5000 0.0000  8 Rh 2.82-2.87, 4 In 2.87
In 0.2500 0.7500 0.5000  8 Rh 2.82-2.87, 4 Hg 2.87

Computed properties:
Density   13.19 g cm⁻³
E_form   0.025 eV/atom
Total DFT energy (no corrections)   -4.932 eV per atom
Calculated volume   16.4 Å³ per atom
Total magnetization   0.00 μB per formula unit



No. 8
An optimized crystal structure of PmHg3. Source: Alexandria, functional GGA-PBEsol.

abc: 5.0698 5.0698 5.0698
angles: 60.00 60.00 60.00
With the nearest neighbours (Å) after each atom.
Fractional positions:
Hg 0.5000 0.5000 0.5000  8 Hg 3.10
Hg 0.2500 0.2500 0.2500  4 Hg 3.10, 4 Pm 3.10
Hg 0.7500 0.7500 0.7500  4 Hg 3.10, 4 Pm 3.10
Pm 0.0000 0.0000 0.0000  8 Hg 3.10

Computed properties:
Density   13.46 g cm⁻³
E_form   -0.471 eV/atom
Total DFT energy (no corrections)   -2.180 eV per atom
Calculated volume   23.0 Å³ per atom
Total magnetization   0.00 μB per formula unit



No. 9
An optimized crystal structure of Zr2RhSe. Source: Alexandria, functional GGA-PBEsol.

abc: 3.4709 3.8568 5.6747
angles: 90.00 107.81 90.00
With the nearest neighbours (Å) after each atom.
Fractional positions:
Se 0.7061 0.8751 0.4122  2 Rh 2.56-2.57, 5 Zr 2.72-2.78
Zr 0.2806 0.3751 0.5612  4 Se 2.72, 3 Rh 2.91-3.04
Zr 0.9637 0.8749 0.9275  4 Rh 2.76, 1 Se 2.78
Rh 0.5495 0.3749 0.0991  2 Se 2.56-2.57, 4 Zr 2.76

Computed properties:
Density   8.36 g cm⁻³
Total DFT energy (no corrections)   -8.440 eV per atom
Calculated volume   18.1 Å³ per atom
Formation energy from raw total energies   -898 meV per atom
Total magnetization   0.00 μB per formula unit



No. 10
An optimized crystal structure of CaCd2Hg. Source: Alexandria, functional GGA-PBEsol.

abc: 4.0228 4.8865 5.7526
angles: 115.15 110.47 90.00
With the nearest neighbours (Å) after each atom.
Fractional positions:
Cd 0.2359 0.2358 0.4719  2 Hg 3.03, 4 Cd 3.17-3.18, 4 Ca 3.24-3.33
Cd 0.7641 0.7642 0.5281  2 Hg 3.03, 4 Cd 3.17-3.18, 4 Ca 3.24-3.33
Ca 0.0000 0.5000 0.0000  4 Hg 3.16, 8 Cd 3.24-3.33
Hg 0.5000 0.0000 0.0000  4 Cd 3.03, 4 Ca 3.16

Computed properties:
Density   8.19 g cm⁻³
E_form   -0.290 eV/atom
Total DFT energy (no corrections)   -1.563 eV per atom
Calculated volume   23.6 Å³ per atom
Total magnetization   0.00 μB per formula unit



No. 11
An optimized crystal structure of MgAg3. Source: Alexandria, functional GGA-PBEsol.

abc: 4.7291 4.9996 5.7351
angles: 90.00 90.00 90.00
With the nearest neighbours (Å) after each atom.
Fractional positions:
Ag 0.5000 0.8327 0.7505  8 Ag 2.86-2.90, 4 Mg 2.87-2.90
Ag 0.5000 0.3293 0.0000  8 Ag 2.87-2.89, 4 Mg 2.87-2.90
Ag 0.0000 0.1673 0.2505  8 Ag 2.86-2.90, 4 Mg 2.87-2.90
Ag 0.5000 0.8327 0.2495  8 Ag 2.86-2.90, 4 Mg 2.87-2.90
Ag 0.0000 0.1673 0.7495  8 Ag 2.86-2.90, 4 Mg 2.87-2.90
Ag 0.0000 0.6707 0.5000  8 Ag 2.87-2.89, 4 Mg 2.87-2.90
Mg 0.5000 0.3359 0.5000  12 Ag 2.87-2.90
Mg 0.0000 0.6641 0.0000  12 Ag 2.87-2.90

Computed properties:
Density   8.52 g cm⁻³
E_form   -0.172 eV/atom
Total DFT energy (no corrections)   -3.085 eV per atom
Calculated volume   17.0 Å³ per atom
Total magnetization   0.00 μB per formula unit



No. 12
An optimized crystal structure of CdSi3W. Source: Alexandria, functional GGA-PBEsol.

abc: 4.7780 4.7780 4.7780
angles: 90.00 90.00 90.00
With the nearest neighbours (Å) after each atom.
Fractional positions:
Si 0.0000 0.0000 0.5000  2 Cd 2.39
Si 0.5000 0.0000 0.0000  2 Cd 2.39
Si 0.0000 0.5000 0.0000  2 Cd 2.39
Cd 0.0000 0.0000 0.0000  6 Si 2.39
W 0.5000 0.5000 0.5000  12 Si 3.38

Computed properties:
Density   5.79 g cm⁻³
Total DFT energy (no corrections)   -4.332 eV per atom
Calculated volume   21.8 Å³ per atom
Formation energy from raw total energies   2117 meV per atom
Total magnetization   3.01 μB per formula unit



No. 13
An optimized crystal structure of CdCu2Br. Source: Alexandria, functional GGA-PBEsol.

abc: 3.5536 3.5144 6.5016
angles: 105.68 105.86 90.00
With the nearest neighbours (Å) after each atom.
Fractional positions:
Cd 0.2555 0.7555 0.5109  6 Cu 2.58-2.88
Cu 0.0650 0.0650 0.1301  2 Cu 2.42, 4 Br 2.71
Cu 0.7019 0.2019 0.4038  2 Cu 2.42, 4 Cd 2.58
Br 0.4776 0.4776 0.9552  4 Cu 2.71

Computed properties:
Density   7.08 g cm⁻³
Total DFT energy (no corrections)   -2.761 eV per atom
Calculated volume   18.7 Å³ per atom
Formation energy from raw total energies   172 meV per atom
Total magnetization   0.00 μB per formula unit



No. 14
An optimized crystal structure of K2ZrCr. Source: Alexandria, functional GGA-PBEsol.

abc: 4.1924 4.1924 6.9887
angles: 107.45 107.45 90.00
With the nearest neighbours (Å) after each atom.
Fractional positions:
Cr 0.0000 0.0000 0.0000  4 Zr 2.96
K 0.7500 0.2500 0.5000  4 K 2.96
K 0.2500 0.7500 0.5000  4 K 2.96
Zr 0.5000 0.5000 0.0000  4 Cr 2.96

Computed properties:
Density   3.31 g cm⁻³
E_form   1.261 eV/atom
Total DFT energy (no corrections)   -4.139 eV per atom
Calculated volume   27.8 Å³ per atom
Total magnetization   2.71 μB per formula unit